{
  "formula": "K3RbAu",
  "functional": "meta-GGA SCAN",
  "state": "single point on PBEsol structure",
  "lattice": [[7.945, 0.000, 0.000], [1.701, 7.997, 0.000], [2.719, 1.473, 8.551]],
  "species": ["K", "K", "K", "K", "K", "K", "Rb", "Rb", "Au", "Au"],
  "frac_coords": [[0.213, 0.432, 0.076], [0.238, 0.377, 0.596], [0.279, 0.865, 0.732], [0.721, 0.135, 0.268], [0.762, 0.623, 0.404], [0.787, 0.568, 0.924], [0.265, 0.895, 0.217], [0.735, 0.105, 0.783], [0.049, 0.162, 0.947], [0.951, 0.838, 0.053]],
  "dft_energy_ev_per_atom": -23.151,
  "formation_enthalpy_0k_ev_per_atom": -0.174,
  "e_above_lowest_polymorph_mev_per_atom": 0,
  "space_group": "P-1, No. 2"
}